Sn2AsPb2 | PBE-GGA | relaxed

- E: -3.75 eV per atom
- Offset from the most stable computed form: 108.0 meV per atom
- Space group: P4/mbm
- N(E_F): 0.57 states/eV per atom

Cell: 8.171 8.171 4.483 Å, 90.00 90.00 90.00°
Positions (direct):
1 Sn 0.134 0.366 0.000
2 Sn 0.366 0.866 0.000
3 Sn 0.634 0.134 0.000
4 Sn 0.866 0.634 0.000
5 As 0.000 0.000 0.500
6 As 0.500 0.500 0.500
7 Pb 0.167 0.667 0.500
8 Pb 0.333 0.167 0.500
9 Pb 0.667 0.833 0.500
10 Pb 0.833 0.333 0.500